Dy2Ho3Si4 after structural relaxation. Source: Alexandria via LeMat-Bulk, functional GGA-PBE.

Final energy, eV per atom: -5.71
Uncorrected formation energy, kJ/mol of atoms: -73
Total moment, μB/f.u.: 0.00
V, Å³/f.u.: 206.5

Cell: 7.670 7.379 7.616 Å, 73.39 90.00 90.00°
Element x y z (fractional)
Dy: 0.681 0.414 0.199
Dy: 0.181 0.086 0.801
Dy: 0.319 0.586 0.801
Dy: 0.819 0.914 0.199
Ho: 0.500 0.000 0.500
Ho: 0.000 0.500 0.500
Ho: 0.181 0.247 0.243
Ho: 0.681 0.253 0.757
Ho: 0.819 0.753 0.757
Ho: 0.319 0.747 0.243
Si: 0.471 0.124 0.080
Si: 0.971 0.376 0.920
Si: 0.529 0.876 0.920
Si: 0.029 0.624 0.080
Si: 0.879 0.123 0.489
Si: 0.379 0.377 0.511
Si: 0.121 0.877 0.511
Si: 0.621 0.623 0.489